Compound: LiFe2O2F3
Source: the Alexandria database
Functional: PBE with a Hubbard U
Structure: relaxed

DFT total energy (eV per atom): -5.717
ΔE to the lowest computed polymorph (eV/atom): 0.006
Theoretical density (g/cm³): 3.787
DOS(E_F) (states/eV per cell): 0.00

```
data_LiFe2O2F3
_chemical_formula_sum 'Li2 Fe4 O4 F6'
_cell_length_a 5.114
_cell_length_b 5.936
_cell_length_c 7.097
_cell_angle_alpha 108.51
_cell_angle_beta 89.98
_cell_angle_gamma 115.47
_symmetry_space_group_name_H-M 'P 1'
_symmetry_Int_Tables_number 1
loop_
_symmetry_equiv_pos_as_xyz
'x,y,z'
loop_
_atom_site_label
_atom_site_fract_x
_atom_site_fract_y
_atom_site_fract_z
_atom_site_occupancy
Li1 0.129 0.558 0.992 1
Li2 0.073 0.447 0.509 1
Fe1 0.678 0.901 0.876 1
Fe2 0.701 0.883 0.370 1
Fe3 0.280 0.104 0.625 1
Fe4 0.320 0.121 0.130 1
O1 0.863 0.912 0.638 1
O2 0.507 0.892 0.132 1
O3 0.453 0.092 0.863 1
O4 0.117 0.113 0.369 1
F1 0.622 0.502 0.250 1
F2 0.291 0.753 0.456 1
F3 0.939 0.760 0.968 1
F4 0.039 0.251 0.044 1
F5 0.681 0.244 0.532 1
F6 0.331 0.502 0.750 1
```